The following is a PBE-GGA calculation of crystalline Ba2NaCuPd at its relaxed geometry, from Alexandria via LeMat-Bulk.

Summary:
ΔH_f (0 K) in meV/atom: -80
Magnetic moment in μB per cell: 0.0

Cell lengths 6.185, 6.185, 4.969 Å; angles 90.00, 90.00, 90.00 degrees
Fractional positions:
Ba: 0.000 0.500 0.000
Ba: 0.500 0.000 0.000
Na: 0.000 0.000 0.500
Cu: 0.500 0.500 0.500
Pd: 0.500 0.500 0.000



The following is a PBE-GGA calculation of crystalline Nd4BiS2 at its relaxed geometry, from Alexandria via LeMat-Bulk.

Summary:
ΔE_f (raw) in eV per formula unit: -10.04
Magnetic moment in μB per cell: 0.0

Cell lengths 7.079, 7.079, 13.894 Å; angles 90.00, 90.00, 145.08 degrees
Fractional positions:
Nd: 0.000 0.000 0.000
Nd: 0.000 0.000 0.500
Nd: 0.263 0.737 0.613
Nd: 0.263 0.737 0.887
Nd: 0.434 0.566 0.250
Nd: 0.566 0.434 0.750
Nd: 0.737 0.263 0.113
Nd: 0.737 0.263 0.387
Bi: 0.112 0.888 0.250
Bi: 0.888 0.112 0.750
S: 0.368 0.632 0.060
S: 0.368 0.632 0.440
S: 0.632 0.368 0.560
S: 0.632 0.368 0.940



The following is a PBE-GGA calculation of crystalline TbTm3S at its relaxed geometry, from Alexandria via LeMat-Bulk.

Summary:
ΔE_f (raw) in eV per formula unit: -3.05
Magnetic moment in μB per cell: 1.3

Cell lengths 5.234, 5.234, 5.234 Å; angles 90.00, 90.00, 90.00 degrees
Fractional positions:
Tb: 0.000 0.000 0.000
Tm: 0.000 0.500 0.500
Tm: 0.500 0.000 0.500
Tm: 0.500 0.500 0.000
S: 0.500 0.500 0.500



The following is a PBE-GGA calculation of crystalline LuGa2Pt at its relaxed geometry, from Alexandria via LeMat-Bulk.

Summary:
ΔH_f (0 K) in meV/atom: -743
Magnetic moment in μB per cell: 0.0

Cell lengths 5.381, 5.381, 5.381 Å; angles 46.54, 46.54, 46.54 degrees
Fractional positions:
Lu: 0.000 0.000 0.000
Ga: 0.222 0.222 0.222
Ga: 0.778 0.778 0.778
Pt: 0.500 0.500 0.500



The following is a PBE-GGA calculation of crystalline PaCo5H11 at its relaxed geometry, from Alexandria via LeMat-Bulk.

Summary:
Raw total energy in eV per cell: -82.23
Magnetic moment in μB per cell: 2.3

Cell lengths 5.454, 5.454, 4.576 Å; angles 111.32, 111.32, 87.35 degrees
Fractional positions:
Pa: 0.000 0.000 0.000
Co: 0.026 0.373 0.703
Co: 0.373 0.026 0.703
Co: 0.500 0.500 0.000
Co: 0.627 0.974 0.297
Co: 0.974 0.627 0.297
H: 0.000 0.000 0.500
H: 0.158 0.636 0.675
H: 0.173 0.443 0.117
H: 0.279 0.279 0.584
H: 0.364 0.842 0.325
H: 0.443 0.173 0.117
H: 0.557 0.827 0.883
H: 0.636 0.158 0.675
H: 0.721 0.721 0.416
H: 0.827 0.557 0.883
H: 0.842 0.364 0.325



The following is a PBE-GGA calculation of crystalline NaScPd at its relaxed geometry, from Alexandria via LeMat-Bulk.

Summary:
ΔH_f (0 K) in meV/atom: -315
Magnetic moment in μB per cell: 0.0

Cell lengths 3.847, 3.847, 9.080 Å; angles 102.44, 102.44, 88.81 degrees
Fractional positions:
Na: 0.247 0.247 0.001
Na: 0.753 0.753 0.999
Sc: 0.190 0.190 0.379
Sc: 0.810 0.810 0.621
Pd: 0.347 0.347 0.696
Pd: 0.653 0.653 0.304



The following is a PBE-GGA calculation of crystalline ErTh3Tl4 at its relaxed geometry, from Alexandria via LeMat-Bulk.

Summary:
Energy relative to the lowest polymorph listed for this composition in meV per atom: 0
ΔH_f (0 K) in meV/atom: -186
Magnetic moment in μB per cell: 0.1

Cell lengths 3.565, 3.565, 18.004 Å; angles 90.00, 90.00, 90.00 degrees
Fractional positions:
Er: 0.000 0.000 0.000
Th: 0.000 0.000 0.244
Th: 0.000 0.000 0.500
Th: 0.000 0.000 0.756
Tl: 0.500 0.500 0.116
Tl: 0.500 0.500 0.372
Tl: 0.500 0.500 0.628
Tl: 0.500 0.500 0.884



The following is a PBE-GGA calculation of crystalline Pr6Sm8Al at its relaxed geometry, from Alexandria via LeMat-Bulk.

Summary:
ΔH_f (0 K) in meV/atom: 73
Magnetic moment in μB per cell: 0.0

Cell lengths 9.578, 9.578, 6.472 Å; angles 90.00, 90.00, 120.00 degrees
Fractional positions:
Pr: 0.093 0.641 0.184
Pr: 0.359 0.452 0.184
Pr: 0.452 0.093 0.816
Pr: 0.548 0.907 0.184
Pr: 0.641 0.548 0.816
Pr: 0.907 0.359 0.816
Sm: 0.043 0.784 0.695
Sm: 0.216 0.259 0.695
Sm: 0.259 0.043 0.305
Sm: 0.333 0.667 0.669
Sm: 0.667 0.333 0.331
Sm: 0.741 0.957 0.695
Sm: 0.784 0.741 0.305
Sm: 0.957 0.216 0.305
Al: 0.000 0.000 0.000



The following is a PBE-GGA calculation of crystalline NdZn4Ga at its relaxed geometry, from Alexandria via LeMat-Bulk.

Summary:
ΔH_f (0 K) in meV/atom: -147
Magnetic moment in μB per cell: 0.0

Cell lengths 5.443, 5.443, 5.443 Å; angles 60.00, 60.00, 60.00 degrees
Fractional positions:
Nd: 0.000 0.000 0.000
Zn: 0.125 0.625 0.625
Zn: 0.625 0.125 0.625
Zn: 0.625 0.625 0.125
Zn: 0.625 0.625 0.625
Ga: 0.250 0.250 0.250



The following is a PBE-GGA calculation of crystalline Dy4Si3Ni at its relaxed geometry, from Alexandria via LeMat-Bulk.

Summary:
ΔE_f (raw) in eV per formula unit: -5.75
Magnetic moment in μB per cell: 0.0

Cell lengths 3.876, 4.185, 10.614 Å; angles 90.00, 90.00, 90.00 degrees
Fractional positions:
Dy: 0.000 0.000 0.000
Dy: 0.000 0.500 0.493
Dy: 0.500 0.000 0.712
Dy: 0.500 0.500 0.218
Si: 0.000 0.500 0.780
Si: 0.500 0.000 0.424
Si: 0.500 0.500 0.925
Ni: 0.000 0.000 0.285



The following is a PBE-GGA calculation of crystalline Ac3Cu2Pd7 at its relaxed geometry, from Alexandria via LeMat-Bulk.

Summary:
ΔH_f (0 K) in meV/atom: -661
Magnetic moment in μB per cell: 0.0

Cell lengths 9.412, 9.412, 9.412 Å; angles 34.60, 34.60, 34.60 degrees
Fractional positions:
Ac: 0.000 0.000 0.000
Ac: 0.138 0.138 0.138
Ac: 0.862 0.862 0.862
Cu: 0.333 0.333 0.333
Cu: 0.667 0.667 0.667
Pd: 0.077 0.580 0.580
Pd: 0.420 0.420 0.923
Pd: 0.420 0.923 0.420
Pd: 0.500 0.500 0.500
Pd: 0.580 0.077 0.580
Pd: 0.580 0.580 0.077
Pd: 0.923 0.420 0.420



The following is a PBE-GGA calculation of crystalline SnHg6P4Cl6 at its relaxed geometry, from Alexandria via LeMat-Bulk.

Summary:
ΔE_f (raw) in eV per formula unit: -7.72
Magnetic moment in μB per cell: 0.0

Cell lengths 12.124, 12.124, 12.124 Å; angles 90.00, 90.00, 90.00 degrees
Fractional positions:
Sn: 0.227 0.227 0.227
Sn: 0.273 0.773 0.727
Sn: 0.727 0.273 0.773
Sn: 0.773 0.727 0.273
Hg: 0.016 0.239 0.529
Hg: 0.023 0.737 0.464
Hg: 0.029 0.484 0.761
Hg: 0.036 0.977 0.237
Hg: 0.237 0.036 0.977
Hg: 0.239 0.529 0.016
Hg: 0.261 0.471 0.516
Hg: 0.263 0.964 0.477
Hg: 0.464 0.023 0.737
Hg: 0.471 0.516 0.261
Hg: 0.477 0.263 0.964
Hg: 0.484 0.761 0.029
Hg: 0.516 0.261 0.471
Hg: 0.523 0.763 0.536
Hg: 0.529 0.016 0.239
Hg: 0.536 0.523 0.763
Hg: 0.737 0.464 0.023
Hg: 0.739 0.971 0.984
Hg: 0.761 0.029 0.484
Hg: 0.763 0.536 0.523
Hg: 0.964 0.477 0.263
Hg: 0.971 0.984 0.739
Hg: 0.977 0.237 0.036
Hg: 0.984 0.739 0.971
P: 0.041 0.041 0.041
P: 0.042 0.542 0.958
P: 0.063 0.937 0.437
P: 0.064 0.436 0.564
P: 0.436 0.564 0.064
P: 0.437 0.063 0.937
P: 0.458 0.458 0.458
P: 0.459 0.959 0.541
P: 0.541 0.459 0.959
P: 0.542 0.958 0.042
P: 0.563 0.563 0.563
P: 0.564 0.064 0.436
P: 0.936 0.936 0.936
P: 0.937 0.437 0.063
P: 0.958 0.042 0.542
P: 0.959 0.541 0.459
Cl: 0.022 0.735 0.204
Cl: 0.056 0.741 0.710
Cl: 0.204 0.022 0.735
Cl: 0.210 0.444 0.259
Cl: 0.235 0.296 0.978
Cl: 0.241 0.790 0.944
Cl: 0.259 0.210 0.444
Cl: 0.265 0.704 0.478
Cl: 0.290 0.556 0.759
Cl: 0.296 0.978 0.235
Cl: 0.444 0.259 0.210
Cl: 0.478 0.265 0.704
Cl: 0.522 0.765 0.796
Cl: 0.556 0.759 0.290
Cl: 0.704 0.478 0.265
Cl: 0.710 0.056 0.741
Cl: 0.735 0.204 0.022
Cl: 0.741 0.710 0.056
Cl: 0.759 0.290 0.556
Cl: 0.765 0.796 0.522
Cl: 0.790 0.944 0.241
Cl: 0.796 0.522 0.765
Cl: 0.944 0.241 0.790
Cl: 0.978 0.235 0.296



The following is a PBE-GGA calculation of crystalline UTe2O8 at its relaxed geometry, from Alexandria via LeMat-Bulk.

Summary:
ΔE_f (raw) in eV per formula unit: -17.62
Magnetic moment in μB per cell: 0.0

Cell lengths 5.647, 5.658, 5.670 Å; angles 76.65, 89.18, 89.38 degrees
Fractional positions:
U: 0.000 0.000 0.000
Te: 0.251 0.573 0.571
Te: 0.749 0.427 0.429
O: 0.142 0.782 0.778
O: 0.224 0.280 0.843
O: 0.226 0.843 0.277
O: 0.423 0.365 0.367
O: 0.577 0.635 0.633
O: 0.774 0.157 0.723
O: 0.776 0.720 0.157
O: 0.858 0.218 0.222



The following is a PBE-GGA calculation of crystalline MgMn2Co at its relaxed geometry, from Alexandria via LeMat-Bulk.

Summary:
Energy relative to the lowest polymorph listed for this composition in meV per atom: 122
ΔH_f (0 K) in meV/atom: 254
Magnetic moment in μB per cell: 7.7

Cell lengths 2.691, 4.066, 5.313 Å; angles 90.00, 104.18, 90.00 degrees
Fractional positions:
Mg: 0.000 0.000 0.000
Mn: 0.319 0.500 0.719
Mn: 0.681 0.500 0.281
Co: 0.500 0.000 0.500



The following is a PBE-GGA calculation of crystalline LaCe3Nd2Te6 at its relaxed geometry, from Alexandria via LeMat-Bulk.

Summary:
ΔE_f (raw) in eV per formula unit: -17.15
Magnetic moment in μB per cell: 3.4

Cell lengths 7.778, 7.778, 7.873 Å; angles 99.48, 99.48, 120.09 degrees
Fractional positions:
La: 0.000 0.000 0.000
Ce: 0.165 0.835 0.500
Ce: 0.500 0.500 0.500
Ce: 0.835 0.165 0.500
Nd: 0.333 0.667 0.000
Nd: 0.667 0.333 0.000
Te: 0.084 0.420 0.253
Te: 0.253 0.253 0.749
Te: 0.420 0.084 0.253
Te: 0.580 0.916 0.747
Te: 0.747 0.747 0.251
Te: 0.916 0.580 0.747



The following is a PBE-GGA calculation of crystalline KZnCo2Sn at its relaxed geometry, from Alexandria via LeMat-Bulk.

Summary:
Energy relative to the lowest polymorph listed for this composition in meV per atom: 0
ΔH_f (0 K) in meV/atom: 896
Magnetic moment in μB per cell: 3.5

Cell lengths 4.811, 4.811, 5.058 Å; angles 90.00, 90.00, 90.00 degrees
Fractional positions:
K: 0.000 0.000 0.000
Zn: 0.500 0.500 0.500
Co: 0.000 0.500 0.500
Co: 0.500 0.000 0.500
Sn: 0.500 0.500 0.000



The following is a PBE-GGA calculation of crystalline Rb3HoO3 at its relaxed geometry, from Alexandria via LeMat-Bulk.

Summary:
ΔE_f (raw) in eV per formula unit: -13.43
Energy relative to the lowest polymorph listed for this composition in meV per atom: 16
Magnetic moment in μB per cell: 0.4

Cell lengths 10.257, 6.647, 11.231 Å; angles 90.00, 108.51, 90.00 degrees
Fractional positions:
Rb: 0.038 0.001 0.170
Rb: 0.038 0.499 0.670
Rb: 0.215 0.553 0.063
Rb: 0.215 0.947 0.563
Rb: 0.409 0.534 0.791
Rb: 0.409 0.966 0.291
Rb: 0.591 0.034 0.709
Rb: 0.591 0.466 0.209
Rb: 0.785 0.053 0.437
Rb: 0.785 0.447 0.937
Rb: 0.962 0.501 0.330
Rb: 0.962 0.999 0.830
Ho: 0.334 0.007 0.946
Ho: 0.334 0.493 0.446
Ho: 0.666 0.507 0.554
Ho: 0.666 0.993 0.054
O: 0.206 0.149 0.035
O: 0.206 0.351 0.535
O: 0.209 0.677 0.300
O: 0.209 0.823 0.800
O: 0.489 0.675 0.580
O: 0.489 0.825 0.080
O: 0.511 0.175 0.920
O: 0.511 0.325 0.420
O: 0.791 0.177 0.200
O: 0.791 0.323 0.700
O: 0.794 0.649 0.465
O: 0.794 0.851 0.965



The following is a PBE-GGA calculation of crystalline Ac2CeSc at its relaxed geometry, from Alexandria via LeMat-Bulk.

Summary:
Energy relative to the lowest polymorph listed for this composition in meV per atom: 0
ΔH_f (0 K) in meV/atom: 148
Magnetic moment in μB per cell: 1.2

Cell lengths 3.803, 3.803, 9.761 Å; angles 90.00, 90.00, 90.00 degrees
Fractional positions:
Ac: 0.000 0.000 0.237
Ac: 0.000 0.000 0.763
Ce: 0.500 0.500 0.500
Sc: 0.500 0.500 0.000



The following is a PBE-GGA calculation of crystalline Al2PPt at its relaxed geometry, from Alexandria via LeMat-Bulk.

Summary:
ΔH_f (0 K) in meV/atom: -198
Magnetic moment in μB per cell: 0.0

Cell lengths 7.630, 7.630, 7.630 Å; angles 24.14, 24.14, 24.14 degrees
Fractional positions:
Al: 0.000 0.000 0.000
Al: 0.238 0.238 0.238
P: 0.744 0.744 0.744
Pt: 0.488 0.488 0.488



The following is a PBE-GGA calculation of crystalline CdSBr at its relaxed geometry, from Alexandria via LeMat-Bulk.

Summary:
ΔE_f (raw) in eV per formula unit: -0.73
Energy relative to the lowest polymorph listed for this composition in meV per atom: 292
Magnetic moment in μB per cell: 0.0

Cell lengths 12.973, 4.232, 6.645 Å; angles 90.00, 90.00, 90.00 degrees
Fractional positions:
Cd: 0.051 0.250 0.204
Cd: 0.449 0.750 0.704
Cd: 0.551 0.250 0.296
Cd: 0.949 0.750 0.796
S: 0.060 0.250 0.810
S: 0.440 0.750 0.310
S: 0.560 0.250 0.690
S: 0.940 0.750 0.190
Br: 0.193 0.250 0.482
Br: 0.307 0.750 0.982
Br: 0.693 0.250 0.018
Br: 0.807 0.750 0.518